Density functional theory data (PBE-GGA) for crystalline CaNb2P6O21 at its relaxed geometry.

Lattice parameters (Å, degrees): 13.508 10.780 12.637 90.00 96.16 90.00
Space group C2/m (No. 12)
Unique sites:
Ca: 0.224 0.000 0.138 [4 per cell]
Nb: 0.000 0.245 0.500 [4 per cell]
Nb: 0.215 0.500 0.178 [4 per cell]
P: 0.059 0.262 0.103 [8 per cell]
P: 0.111 0.241 0.766 [8 per cell]
P: 0.141 0.000 0.411 [4 per cell]
P: 0.156 0.500 0.455 [4 per cell]
O: 0.000 0.328 0.000 [4 per cell]
O: 0.025 0.198 0.836 [8 per cell]
O: 0.058 0.241 0.650 [8 per cell]
O: 0.095 0.382 0.472 [8 per cell]
O: 0.098 0.116 0.465 [8 per cell]
O: 0.103 0.369 0.172 [8 per cell]
O: 0.128 0.165 0.071 [8 per cell]
O: 0.130 0.000 0.293 [4 per cell]
O: 0.153 0.363 0.798 [8 per cell]
O: 0.183 0.132 0.776 [8 per cell]
O: 0.199 0.500 0.352 [4 per cell]
O: 0.227 0.500 0.040 [4 per cell]
O: 0.241 0.500 0.553 [4 per cell]

=====

Density functional theory data (PBE-GGA) for crystalline LaUPd14 at its relaxed geometry.

Lattice parameters (Å, degrees): 5.879 5.879 7.770 90.00 90.00 90.00
Space group P4/mmm (No. 123)
Unique sites:
La: 0.000 0.000 0.000 [1 per cell]
U: 0.500 0.500 0.000 [1 per cell]
Pd: 0.000 0.000 0.500 [1 per cell]
Pd: 0.000 0.500 0.000 [2 per cell]
Pd: 0.000 0.500 0.500 [2 per cell]
Pd: 0.258 0.258 0.255 [8 per cell]
Pd: 0.500 0.500 0.500 [1 per cell]

=====

Number 1: total energy -920.0 eV per cell. Number 2: total energy -94.6 eV per cell.